Computed, not measured: an optimized crystal structure of PmZr4N6 at the PBE level of DFT.

Cell lengths 3.2507, 5.6538, 16.5666 Å; angles 90.00, 90.00, 106.71 degrees
Fractional coordinates of all 22 atoms:
Pm 0.6501 0.3002 0.2500
Pm 0.3499 0.6998 0.7500
Zr 0.8692 0.7385 0.5480
Zr 0.3940 0.7881 0.1365
Zr 0.1308 0.2615 0.4520
Zr 0.6060 0.2119 0.8635
Zr 0.8692 0.7385 0.9520
Zr 0.1308 0.2615 0.0480
Zr 0.6060 0.2119 0.6365
Zr 0.3940 0.7881 0.3635
N 0.5000 0.0000 0.0000
N 0.5000 0.0000 0.5000
N 0.0339 0.0679 0.3423
N 0.9661 0.9321 0.6577
N 0.9661 0.9321 0.8423
N 0.0339 0.0679 0.1577
N 0.7703 0.5405 0.4176
N 0.2297 0.4595 0.5824
N 0.2297 0.4595 0.9176
N 0.7703 0.5405 0.0824
N 0.3138 0.6275 0.2500
N 0.6862 0.3725 0.7500

total moment	0.00	Bohr magnetons per cell
space-group type	No. 63
Fermi-level density of states	2.2	states/eV per cell
E_form (uncorrected)	-1.593	eV per atom